*P*
Computed, not measured: a relaxed Tb2I3 crystal at the PBE level of DFT.

Properties
Its space group is C2/m. The size of the total moment comes out at 0.000 μB per formula unit. The value obtained for the volume is 44.49 Å³/atom.

Lattice parameters (Å, degrees): 10.451 10.451 11.382 111.04 111.04 22.62
Sites, in units of the cell vectors:
Tb  0.074  0.074  0.243
Tb  0.426  0.426  0.031
Tb  0.574  0.574  0.969
Tb  0.926  0.926  0.757
I  0.075  0.075  0.756
I  0.190  0.190  0.134
I  0.362  0.362  0.545
I  0.638  0.638  0.455
I  0.810  0.810  0.866
I  0.925  0.925  0.244

*Q*
Computed, not measured: a relaxed Tb2I3 crystal at the PBE level of DFT.

Properties
Its space group is C2/m. The size of the total moment comes out at 0.000 μB per formula unit. The value obtained for the volume is 40.60 Å³/atom. The value obtained for the density of states at the Fermi level is 0.05 states/eV per atom.

Lattice parameters (Å, degrees): 10.128 10.128 12.204 124.05 124.05 23.29
Sites, in units of the cell vectors:
Tb  0.067  0.067  0.460
Tb  0.369  0.369  0.224
Tb  0.631  0.631  0.776
Tb  0.933  0.933  0.540
I  0.167  0.167  0.003
I  0.288  0.288  0.379
I  0.467  0.467  0.760
I  0.533  0.533  0.240
I  0.712  0.712  0.621
I  0.833  0.833  0.997

Stability verdict: *P*, ahead by 20 meV/atom

*P*
Computed, not measured: a relaxed TbThI crystal at the PBE level of DFT.

Properties
Its space group is P3m1. The size of the total moment comes out at 0.087 μB per formula unit. The value obtained for the volume is 33.05 Å³/atom. The value obtained for the density of states at the Fermi level is 1.73 states/eV per atom.

Lattice parameters (Å, degrees): 5.585 5.585 3.670 90.00 90.00 120.00
Sites, in units of the cell vectors:
Tb  0.000  0.000  0.000
Th  0.667  0.333  0.492
I  0.333  0.667  0.440

*Q*
Computed, not measured: a relaxed TbThI crystal at the PBE level of DFT.

Properties
Its space group is C2/m. The size of the total moment comes out at 0.000 μB per formula unit. The value obtained for the volume is 30.90 Å³/atom. The value obtained for the density of states at the Fermi level is 0.84 states/eV per atom.

Lattice parameters (Å, degrees): 6.107 6.107 6.366 106.95 106.95 113.09
Sites, in units of the cell vectors:
Tb  0.187  0.187  0.299
Tb  0.813  0.813  0.701
Th  0.348  0.652  0.000
Th  0.652  0.348  0.000
I  0.221  0.779  0.500
I  0.779  0.221  0.500

Stability verdict: *Q*, ahead by 326 meV/atom

*P*
Computed, not measured: a relaxed Tb2ThI crystal at the PBE level of DFT.

Properties
Its space group is P4/mmm. The size of the total moment comes out at 0.000 μB per formula unit. The value obtained for the volume is 32.31 Å³/atom. The value obtained for the density of states at the Fermi level is 0.74 states/eV per atom.

Lattice parameters (Å, degrees): 3.712 3.712 9.379 90.00 90.00 90.00
Sites, in units of the cell vectors:
Tb  0.000  0.000  0.249
Tb  0.000  0.000  0.751
Th  0.500  0.500  0.000
I  0.500  0.500  0.500

*Q*
Computed, not measured: a relaxed Tb2ThI crystal at the PBE level of DFT.

Properties
Its space group is R-3m. The size of the total moment comes out at 0.000 μB per formula unit. The value obtained for the volume is 31.69 Å³/atom. The value obtained for the density of states at the Fermi level is 0.72 states/eV per atom.

Lattice parameters (Å, degrees): 10.642 10.642 10.642 20.28 20.28 20.28
Sites, in units of the cell vectors:
Tb  0.246  0.246  0.246
Tb  0.754  0.754  0.754
Th  0.000  0.000  0.000
I  0.500  0.500  0.500

Stability verdict: *Q*, ahead by 78 meV/atom

*P*
Computed, not measured: a relaxed TbTmI crystal at the PBE level of DFT.

Properties
Its space group is I4mm. The size of the total moment comes out at 0.000 μB per formula unit. The value obtained for the volume is 30.93 Å³/atom. The value obtained for the density of states at the Fermi level is 1.19 states/eV per atom.

Lattice parameters (Å, degrees): 7.361 7.361 7.361 151.13 151.13 41.29
Sites, in units of the cell vectors:
Tb  0.000  0.000  0.000
Tm  0.333  0.333  0.000
I  0.668  0.668  0.000

*Q*
Computed, not measured: a relaxed TbTmI crystal at the PBE level of DFT.

Properties
Its space group is C2/m. The size of the total moment comes out at 0.001 μB per formula unit. The value obtained for the volume is 33.32 Å³/atom. The value obtained for the density of states at the Fermi level is 1.13 states/eV per atom.

Lattice parameters (Å, degrees): 5.766 5.766 9.960 90.79 90.79 37.15
Sites, in units of the cell vectors:
Tb  0.149  0.149  0.223
Tb  0.851  0.851  0.777
Tm  0.140  0.140  0.565
Tm  0.860  0.860  0.435
I  0.133  0.133  0.884
I  0.867  0.867  0.116

Stability verdict: *P*, ahead by 84 meV/atom

*P*
Computed, not measured: a relaxed TcI4 crystal at the PBE level of DFT.

Properties
Its space group is Pm-3m. The size of the total moment comes out at 2.068 μB per formula unit. The value obtained for the volume is 33.28 Å³/atom. The value obtained for the density of states at the Fermi level is 1.15 states/eV per atom.

Lattice parameters (Å, degrees): 5.500 5.500 5.500 90.00 90.00 90.00
Sites, in units of the cell vectors:
Tc  0.000  0.000  0.000
I  0.000  0.000  0.500
I  0.000  0.500  0.000
I  0.500  0.000  0.000
I  0.500  0.500  0.500

*Q*
Computed, not measured: a relaxed TcI4 crystal at the PBE level of DFT.

Properties
Its space group is P2/c. The size of the total moment comes out at 3.001 μB per formula unit. The value obtained for the volume is 42.65 Å³/atom.

Lattice parameters (Å, degrees): 7.377 8.612 6.967 90.00 105.52 90.00
Sites, in units of the cell vectors:
Tc  0.000  0.135  0.250
Tc  0.000  0.865  0.750
I  0.213  0.106  0.983
I  0.213  0.894  0.483
I  0.239  0.343  0.452
I  0.239  0.657  0.952
I  0.761  0.343  0.048
I  0.761  0.657  0.548
I  0.787  0.106  0.517
I  0.787  0.894  0.017

Stability verdict: *Q*, ahead by 421 meV/atom

*P*
Computed, not measured: a relaxed TcTeI2 crystal at the PBE level of DFT.

Properties
Its space group is I-42d. The size of the total moment comes out at 0.000 μB per formula unit. The value obtained for the volume is 33.41 Å³/atom. The value obtained for the density of states at the Fermi level is 1.61 states/eV per atom.

Lattice parameters (Å, degrees): 7.092 7.092 7.092 115.21 115.21 98.52
Sites, in units of the cell vectors:
Tc  0.000  0.000  0.000
Tc  0.750  0.250  0.500
Te  0.250  0.750  0.500
Te  0.500  0.500  0.000
I  0.048  0.625  0.923
I  0.375  0.298  0.423
I  0.702  0.125  0.077
I  0.875  0.952  0.577

*Q*
Computed, not measured: a relaxed TcTeI2 crystal at the PBE level of DFT.

Properties
Its space group is Fm-3m. The size of the total moment comes out at 2.871 μB per formula unit. The value obtained for the volume is 27.99 Å³/atom. The value obtained for the density of states at the Fermi level is 0.64 states/eV per atom.

Lattice parameters (Å, degrees): 5.410 5.410 5.410 60.00 60.00 60.00
Sites, in units of the cell vectors:
Tc  0.000  0.000  0.000
Te  0.500  0.500  0.500
I  0.250  0.250  0.250
I  0.750  0.750  0.750

Stability verdict: *P*, ahead by 290 meV/atom

*P*
Computed, not measured: a relaxed Tc2TeI crystal at the PBE level of DFT.

Properties
Its space group is Fm-3m. The size of the total moment comes out at 0.000 μB per formula unit. The value obtained for the volume is 18.59 Å³/atom. The value obtained for the density of states at the Fermi level is 1.03 states/eV per atom.

Lattice parameters (Å, degrees): 4.720 4.720 4.720 60.00 60.00 60.00
Sites, in units of the cell vectors:
Tc  0.250  0.250  0.250
Tc  0.750  0.750  0.750
Te  0.000  0.000  0.000
I  0.500  0.500  0.500

*Q*
Computed, not measured: a relaxed Tc2TeI crystal at the PBE level of DFT.

Properties
Its space group is I-42d. The size of the total moment comes out at 0.000 μB per formula unit. The value obtained for the volume is 26.41 Å³/atom. The value obtained for the density of states at the Fermi level is 0.51 states/eV per atom.

Lattice parameters (Å, degrees): 7.300 7.300 7.300 131.89 131.89 70.41
Sites, in units of the cell vectors:
Tc  0.124  0.625  0.999
Tc  0.375  0.374  0.499
Tc  0.626  0.125  0.001
Tc  0.875  0.876  0.501
Te  0.000  0.000  0.000
Te  0.750  0.250  0.500
I  0.250  0.750  0.500
I  0.500  0.500  0.000

Stability verdict: *P*, ahead by 108 meV/atom

*P*
Computed, not measured: a relaxed TcTe2I crystal at the PBE level of DFT.

Properties
Its space group is I-42d. The size of the total moment comes out at 0.000 μB per formula unit. The value obtained for the volume is 36.38 Å³/atom. The value obtained for the density of states at the Fermi level is 0.68 states/eV per atom.

Lattice parameters (Å, degrees): 7.489 7.489 7.489 121.28 121.28 87.80
Sites, in units of the cell vectors:
Tc  0.000  0.000  0.000
Tc  0.750  0.250  0.500
Te  0.023  0.625  0.898
Te  0.375  0.273  0.398
Te  0.727  0.125  0.102
Te  0.875  0.977  0.602
I  0.250  0.750  0.500
I  0.500  0.500  0.000

*Q*
Computed, not measured: a relaxed TcTe2I crystal at the PBE level of DFT.

Properties
Its space group is R-3m. The size of the total moment comes out at 0.000 μB per formula unit. The value obtained for the volume is 31.08 Å³/atom. The value obtained for the density of states at the Fermi level is 1.05 states/eV per atom.

Lattice parameters (Å, degrees): 9.026 9.026 9.026 25.99 25.99 25.99
Sites, in units of the cell vectors:
Tc  0.000  0.000  0.000
Te  0.385  0.385  0.385
Te  0.615  0.615  0.615
I  0.500  0.500  0.500

Stability verdict: *Q*, ahead by 188 meV/atom

*P*
Computed, not measured: a relaxed YTcTeI2 crystal at the PBE level of DFT.

Properties
Its space group is P4/mmm. The size of the total moment comes out at 1.160 μB per formula unit. The value obtained for the volume is 30.63 Å³/atom. The value obtained for the density of states at the Fermi level is 1.12 states/eV per atom.

Lattice parameters (Å, degrees): 5.326 5.326 5.398 90.00 90.00 90.00
Sites, in units of the cell vectors:
Y  0.000  0.000  0.000
Tc  0.500  0.500  0.500
Te  0.500  0.500  0.000
I  0.000  0.500  0.500
I  0.500  0.000  0.500

*Q*
Computed, not measured: a relaxed YTcTeI2 crystal at the PBE level of DFT.

Properties
Its space group is P4/mmm. The size of the total moment comes out at 1.169 μB per formula unit. The value obtained for the volume is 38.23 Å³/atom. The value obtained for the density of states at the Fermi level is 0.70 states/eV per atom.

Lattice parameters (Å, degrees): 6.218 6.218 4.943 90.00 90.00 90.00
Sites, in units of the cell vectors:
Y  0.000  0.000  0.000
Tc  0.500  0.500  0.000
Te  0.500  0.500  0.500
I  0.000  0.500  0.500
I  0.500  0.000  0.500

Stability verdict: *P*, ahead by 669 meV/atom

*P*
Computed, not measured: a relaxed ZnTcTe2I crystal at the PBE level of DFT.

Properties
Its space group is P4/mmm. The size of the total moment comes out at 0.000 μB per formula unit. The value obtained for the volume is 31.05 Å³/atom. The value obtained for the density of states at the Fermi level is 1.03 states/eV per atom.

Lattice parameters (Å, degrees): 5.152 5.152 5.849 90.00 90.00 90.00
Sites, in units of the cell vectors:
Zn  0.000  0.000  0.000
Tc  0.500  0.500  0.500
Te  0.000  0.500  0.500
Te  0.500  0.000  0.500
I  0.500  0.500  0.000

*Q*
Computed, not measured: a relaxed ZnTcTe2I crystal at the PBE level of DFT.

Properties
Its space group is P4/mmm. The size of the total moment comes out at 4.688 μB per formula unit. The value obtained for the volume is 31.22 Å³/atom. The value obtained for the density of states at the Fermi level is 0.69 states/eV per atom.

Lattice parameters (Å, degrees): 5.279 5.279 5.601 90.00 90.00 90.00
Sites, in units of the cell vectors:
Zn  0.000  0.000  0.000
Tc  0.500  0.500  0.500
Te  0.000  0.500  0.000
Te  0.500  0.000  0.000
I  0.000  0.000  0.500

Stability verdict: *P*, ahead by 527 meV/atom

*P*
Computed, not measured: a relaxed ZnTcTeI2 crystal at the PBE level of DFT.

Properties
Its space group is P4/mmm. The size of the total moment comes out at 4.987 μB per formula unit. The value obtained for the volume is 32.86 Å³/atom. The value obtained for the density of states at the Fermi level is 0.54 states/eV per atom.

Lattice parameters (Å, degrees): 5.432 5.432 5.567 90.00 90.00 90.00
Sites, in units of the cell vectors:
Zn  0.000  0.000  0.000
Tc  0.500  0.500  0.500
Te  0.000  0.000  0.500
I  0.000  0.500  0.000
I  0.500  0.000  0.000

*Q*
Computed, not measured: a relaxed ZnTcTeI2 crystal at the PBE level of DFT.

Properties
Its space group is P4/mmm. The size of the total moment comes out at 0.914 μB per formula unit. The value obtained for the volume is 32.56 Å³/atom. The value obtained for the density of states at the Fermi level is 0.83 states/eV per atom.

Lattice parameters (Å, degrees): 5.656 5.656 5.089 90.00 90.00 90.00
Sites, in units of the cell vectors:
Zn  0.000  0.000  0.000
Tc  0.500  0.500  0.500
Te  0.500  0.500  0.000
I  0.000  0.500  0.500
I  0.500  0.000  0.500

Stability verdict: *Q*, ahead by 440 meV/atom

*P*
Computed, not measured: a relaxed Ti2TcI crystal at the PBE level of DFT.

Properties
Its space group is I-42d. The size of the total moment comes out at 0.000 μB per formula unit. The value obtained for the volume is 26.41 Å³/atom. The value obtained for the density of states at the Fermi level is 0.93 states/eV per atom.

Lattice parameters (Å, degrees): 7.420 7.420 7.420 133.50 133.50 67.87
Sites, in units of the cell vectors:
Ti  0.047  0.625  0.922
Ti  0.375  0.297  0.422
Ti  0.703  0.125  0.078
Ti  0.875  0.953  0.578
Tc  0.000  0.000  0.000
Tc  0.750  0.250  0.500
I  0.250  0.750  0.500
I  0.500  0.500  0.000

*Q*
Computed, not measured: a relaxed Ti2TcI crystal at the PBE level of DFT.

Properties
Its space group is Fm-3m. The size of the total moment comes out at 0.000 μB per formula unit. The value obtained for the volume is 17.56 Å³/atom. The value obtained for the density of states at the Fermi level is 1.75 states/eV per atom.

Lattice parameters (Å, degrees): 4.631 4.631 4.631 60.00 60.00 60.00
Sites, in units of the cell vectors:
Ti  0.250  0.250  0.250
Ti  0.750  0.750  0.750
Tc  0.000  0.000  0.000
I  0.500  0.500  0.500

Stability verdict: *Q*, ahead by 290 meV/atom

*P*
Computed, not measured: a relaxed TiTc3I crystal at the PBE level of DFT.

Properties
Its space group is Pm-3m. The size of the total moment comes out at 0.650 μB per formula unit. The value obtained for the volume is 19.90 Å³/atom. The value obtained for the density of states at the Fermi level is 1.25 states/eV per atom.

Lattice parameters (Å, degrees): 4.634 4.634 4.634 90.00 90.00 90.00
Sites, in units of the cell vectors:
Ti  0.000  0.000  0.000
Tc  0.000  0.000  0.500
Tc  0.000  0.500  0.000
Tc  0.500  0.000  0.000
I  0.500  0.500  0.500

*Q*
Computed, not measured: a relaxed TiTc3I crystal at the PBE level of DFT.

Properties
Its space group is Pm-3m. The size of the total moment comes out at 0.000 μB per formula unit. The value obtained for the volume is 21.33 Å³/atom. The value obtained for the density of states at the Fermi level is 1.07 states/eV per atom.

Lattice parameters (Å, degrees): 4.742 4.742 4.742 90.00 90.00 90.00
Sites, in units of the cell vectors:
Ti  0.000  0.000  0.000
Tc  0.000  0.500  0.500
Tc  0.500  0.000  0.500
Tc  0.500  0.500  0.000
I  0.500  0.500  0.500

Stability verdict: *P*, ahead by 272 meV/atom